Entry 1:
A plane-wave DFT calculation with GGA-PBE was carried out for crystalline LaPaSi2 at its relaxed geometry.

Results
As for the size of the total moment: 0.00 μB per formula unit. The calculation puts the uncorrected formation energy at -0.3939 eV/atom. The space group is No. 123. As for the crystal system: tetragonal.

```
data_LaPaSi2
_chemical_formula_sum 'La1 Pa1 Si2'
_cell_length_a 3.332
_cell_length_b 3.332
_cell_length_c 8.073
_cell_angle_alpha 90.00
_cell_angle_beta 90.00
_cell_angle_gamma 90.00
_space_group_name_H-M_alt 'P 1'
_space_group_IT_number 1
loop_
_space_group_symop_operation_xyz
'x,y,z'
loop_
_atom_site_label
_atom_site_fract_x
_atom_site_fract_y
_atom_site_fract_z
Si1 0.000 0.000 0.764
Si2 0.000 0.000 0.236
La1 0.500 0.500 0.500
Pa1 0.500 0.500 0.000
```

Entry 2:
A plane-wave DFT calculation with GGA-PBE was carried out for crystalline LaPa2Si at its relaxed geometry.

Results
As for the size of the total moment: 0.00 μB per formula unit. The calculation puts the uncorrected formation energy at 0.1767 eV/atom. The space group is No. 166. As for the crystal system: trigonal.

```
data_LaPa2Si
_chemical_formula_sum 'La1 Pa2 Si1'
_cell_length_a 3.179
_cell_length_b 3.179
_cell_length_c 11.421
_cell_angle_alpha 82.00
_cell_angle_beta 82.00
_cell_angle_gamma 60.00
_space_group_name_H-M_alt 'P 1'
_space_group_IT_number 1
loop_
_space_group_symop_operation_xyz
'x,y,z'
loop_
_atom_site_label
_atom_site_fract_x
_atom_site_fract_y
_atom_site_fract_z
La1 0.000 0.000 0.000
Pa1 0.097 0.097 0.709
Pa2 0.903 0.903 0.291
Si1 0.500 0.500 0.500
```

Entry 3:
A plane-wave DFT calculation with GGA-PBE was carried out for crystalline LaPa2Si at its relaxed geometry.

Results
As for the size of the total moment: 0.00 μB per formula unit. The calculation puts the uncorrected formation energy at -0.0828 eV/atom. The space group is No. 123. As for the crystal system: tetragonal.

```
data_LaPa2Si
_chemical_formula_sum 'La1 Pa2 Si1'
_cell_length_a 3.735
_cell_length_b 3.735
_cell_length_c 7.551
_cell_angle_alpha 90.00
_cell_angle_beta 90.00
_cell_angle_gamma 90.00
_space_group_name_H-M_alt 'P 1'
_space_group_IT_number 1
loop_
_space_group_symop_operation_xyz
'x,y,z'
loop_
_atom_site_label
_atom_site_fract_x
_atom_site_fract_y
_atom_site_fract_z
Si1 0.500 0.500 0.500
La1 0.500 0.500 0.000
Pa1 0.000 0.000 0.680
Pa2 0.000 0.000 0.320
```

Entry 4:
A plane-wave DFT calculation with GGA-PBE was carried out for crystalline LaPa2Si6 at its relaxed geometry.

Results
As for the size of the total moment: 0.00 μB per formula unit. The calculation puts the uncorrected formation energy at -0.5429 eV/atom. The space group is No. 191. As for the crystal system: hexagonal.

```
data_LaPa2Si6
_chemical_formula_sum 'La1 Pa2 Si6'
_cell_length_a 4.041
_cell_length_b 7.075
_cell_length_c 7.075
_cell_angle_alpha 120.00
_cell_angle_beta 90.00
_cell_angle_gamma 90.00
_space_group_name_H-M_alt 'P 1'
_space_group_IT_number 1
loop_
_space_group_symop_operation_xyz
'x,y,z'
loop_
_atom_site_label
_atom_site_fract_x
_atom_site_fract_y
_atom_site_fract_z
Pa1 0.000 0.667 0.333
Pa2 0.000 0.333 0.667
Si1 0.500 0.000 0.663
Si2 0.500 0.337 0.000
Si3 0.500 0.337 0.337
Si4 0.500 0.000 0.337
Si5 0.500 0.663 0.000
Si6 0.500 0.663 0.663
La1 0.000 0.000 0.000
```

Entry 5:
A plane-wave DFT calculation with GGA-PBE was carried out for crystalline La2PaSi6 at its relaxed geometry.

Results
As for the size of the total moment: 0.00 μB per formula unit. The calculation puts the uncorrected formation energy at -0.5858 eV/atom. The space group is No. 191. As for the crystal system: hexagonal.

```
data_La2PaSi6
_chemical_formula_sum 'La2 Pa1 Si6'
_cell_length_a 4.199
_cell_length_b 7.117
_cell_length_c 7.117
_cell_angle_alpha 120.00
_cell_angle_beta 90.00
_cell_angle_gamma 90.00
_space_group_name_H-M_alt 'P 1'
_space_group_IT_number 1
loop_
_space_group_symop_operation_xyz
'x,y,z'
loop_
_atom_site_label
_atom_site_fract_x
_atom_site_fract_y
_atom_site_fract_z
Si1 0.500 0.000 0.328
Si2 0.500 0.672 0.672
Si3 0.500 0.328 0.328
Si4 0.500 0.672 0.000
Si5 0.500 0.328 0.000
Si6 0.500 0.000 0.672
La1 0.000 0.333 0.667
La2 0.000 0.667 0.333
Pa1 0.000 0.000 0.000
```

Entry 6:
A plane-wave DFT calculation with GGA-PBE was carried out for crystalline LaPa2Si at its relaxed geometry.

Results
As for the size of the total moment: 0.00 μB per formula unit. The calculation puts the uncorrected formation energy at -0.0766 eV/atom. The space group is No. 123. As for the crystal system: tetragonal.

```
data_LaPa2Si
_chemical_formula_sum 'La1 Pa2 Si1'
_cell_length_a 4.787
_cell_length_b 4.473
_cell_length_c 4.473
_cell_angle_alpha 90.00
_cell_angle_beta 90.00
_cell_angle_gamma 90.00
_space_group_name_H-M_alt 'P 1'
_space_group_IT_number 1
loop_
_space_group_symop_operation_xyz
'x,y,z'
loop_
_atom_site_label
_atom_site_fract_x
_atom_site_fract_y
_atom_site_fract_z
Si1 0.500 0.500 0.500
Pa1 0.000 0.500 0.000
Pa2 0.000 0.000 0.500
La1 0.500 0.000 0.000
```

The records above give, respectively, N(E_F) values of 1.146; 1.745; 1.878; 0.795; 0.690; 1.714 states/eV/atom.